The following is a GGA-PBE calculation of a relaxed FeCoRh2 crystal, from the Alexandria database.

DOS at the Fermi energy = 1.424 states/eV per atom
DFT formation energy = 38 meV/atom
density = 10.247 g/cm3
final energy = -7.530 eV/atom
size of the total moment = 1.246 μB per atom

```
FeCoRh2
1.0
2.676 0.000 0.000
0.000 3.626 0.000
0.000 0.000 5.353
Fe Co Rh
1 1 2
Direct
0.000 0.000 0.000
0.500 0.500 0.762
0.000 0.000 0.526
0.500 0.500 0.249
```